{
  "formula": "Cr2CdF",
  "functional": "GGA+U",
  "state": "optimized geometry",
  "lattice_angstrom": [[0.000, 3.336, 3.336], [3.336, 0.000, 3.336], [3.336, 3.336, 0.000]],
  "species": ["Cr", "Cd", "F", "Cr"],
  "frac_coords": [[0.750, 0.750, 0.750], [0.500, 0.500, 0.500], [0.000, 0.000, 0.000], [0.250, 0.250, 0.250]],
  "total_energy_ev_per_fu": -18.2,
  "e_above_lowest_polymorph_mev_per_atom": 222,
  "space_group": "No. 225"
}